Material: TcAsAu2
Method: DFT, PBE-GGA
State: relaxed

Cell lengths 3.8776, 3.8776, 4.5516 Å; angles 90.00, 90.00, 90.00 degrees
Sites, in units of the cell vectors:
Tc1 0.0000 0.0000 0.0000
As1 0.5000 0.5000 0.0000
Au1 0.0000 0.5000 0.5000
Au2 0.5000 0.0000 0.5000

Output
formation energy from the elements = 408 meV per atom

Material: AcTl3Au
Method: DFT, PBE-GGA
State: relaxed

Cell lengths 10.2330, 4.8521, 11.7969 Å; angles 90.00, 90.00, 90.00 degrees
Sites, in units of the cell vectors:
Ac1 0.2111 0.2500 0.0037
Ac2 0.2889 0.7500 0.5037
Ac3 0.7111 0.2500 0.4963
Ac4 0.7889 0.7500 0.9963
Tl1 0.0636 0.2500 0.3953
Tl2 0.0928 0.7500 0.1929
Tl3 0.1358 0.7500 0.8046
Tl4 0.3642 0.2500 0.3046
Tl5 0.4072 0.2500 0.6929
Tl6 0.4364 0.7500 0.8953
Tl7 0.5636 0.2500 0.1047
Tl8 0.5928 0.7500 0.3071
Tl9 0.6358 0.7500 0.6954
Tl10 0.8642 0.2500 0.1954
Tl11 0.9072 0.2500 0.8071
Tl12 0.9364 0.7500 0.6047
Au1 0.1264 0.2500 0.6383
Au2 0.3736 0.7500 0.1383
Au3 0.6264 0.2500 0.8617
Au4 0.8736 0.7500 0.3617

Output
formation energy from the elements = -256 meV per atom

Material: LiOs2S
Method: DFT, PBE-GGA
State: relaxed

Cell lengths 5.6173, 5.6173, 5.6173 Å; angles 99.77, 99.77, 131.34 degrees
Sites, in units of the cell vectors:
Li1 0.0000 0.0000 0.0000
Li2 0.7500 0.2500 0.5000
Os1 0.2146 0.6250 0.0896
Os2 0.3750 0.4646 0.5896
Os3 0.5354 0.1250 0.9104
Os4 0.8750 0.7854 0.4104
S1 0.2500 0.7500 0.5000
S2 0.5000 0.5000 0.0000

Output
uncorrected formation energy = 0.4384 eV per atom

Material: Ta2IrRh2
Method: DFT, PBE-GGA
State: relaxed

Cell lengths 5.2754, 5.2754, 5.2754 Å; angles 127.29, 127.29, 77.78 degrees
Sites, in units of the cell vectors:
Ta1 0.2500 0.7500 0.5000
Ta2 0.7500 0.2500 0.5000
Ir1 0.0000 0.0000 0.0000
Rh1 0.3576 0.3576 0.0000
Rh2 0.6424 0.6424 0.0000

Output
formation energy from the elements = 183 meV per atom
offset from the most stable computed form = 533.2 meV/atom

Per-record energy, eV per atom: -4.984, -3.153, -6.687, -9.271
Per-record Fermi-level density of states, states/eV/atom: 0.88, 0.55, 0.80, 0.78